Material: FeSbP2
Method: DFT, PBE-GGA
State: optimized geometry

Mass density: 6.14 g/cm³
Size of the total moment: 3.923 μB per cell

CIF file:
```
data_FeSbP2
_symmetry_space_group_name_H-M 'I -4 m 2'
_symmetry_Int_Tables_number 119
_symmetry_space_group_name_Hall 'I -4 -2'
_cell_length_a 4.375
_cell_length_b 4.375
_cell_length_c 6.767
_cell_angle_alpha 90.00
_cell_angle_beta 90.00
_cell_angle_gamma 90.00
loop_
_atom_site_label
_atom_site_type_symbol
_atom_site_fract_x
_atom_site_fract_y
_atom_site_fract_z
_atom_site_occupancy
Fe1 Fe 0.000 0.000 0.000 1
Sb1 Sb 0.000 0.500 0.250 1
P1 P 0.000 0.000 0.500 1
P2 P 0.000 0.500 0.750 1
```

***

Material: FeSbP2
Method: DFT, PBE-GGA
State: optimized geometry

Mass density: 5.83 g/cm³
Size of the total moment: 4.183 μB per cell

CIF file:
```
data_FeSbP2
_symmetry_space_group_name_H-M 'R -3 m'
_symmetry_Int_Tables_number 166
_symmetry_space_group_name_Hall '-R 3 2"'
_cell_length_a 3.1897
_cell_length_b 3.1897
_cell_length_c 23.2314
_cell_angle_alpha 90.00
_cell_angle_beta 90.00
_cell_angle_gamma 120.00
loop_
_atom_site_label
_atom_site_type_symbol
_atom_site_fract_x
_atom_site_fract_y
_atom_site_fract_z
_atom_site_occupancy
Fe1 Fe 0.0000 0.0000 0.0000 1
Sb1 Sb 0.0000 0.0000 0.5000 1
P1 P 0.0000 0.0000 0.2737 1
```

***

Material: FeSb2P
Method: DFT, PBE-GGA
State: optimized geometry

Mass density: 6.58 g/cm³
Size of the total moment: 6.042 μB per cell

CIF file:
```
data_FeSb2P
_symmetry_space_group_name_H-M 'I -4 m 2'
_symmetry_Int_Tables_number 119
_symmetry_space_group_name_Hall 'I -4 -2'
_cell_length_a 3.937
_cell_length_b 3.937
_cell_length_c 10.757
_cell_angle_alpha 90.00
_cell_angle_beta 90.00
_cell_angle_gamma 90.00
loop_
_atom_site_label
_atom_site_type_symbol
_atom_site_fract_x
_atom_site_fract_y
_atom_site_fract_z
_atom_site_occupancy
Fe1 Fe 0.000 0.000 0.000 1
Sb1 Sb 0.000 0.000 0.500 1
Sb2 Sb 0.000 0.500 0.250 1
P1 P 0.000 0.500 0.750 1
```

***

Material: FeSbP2
Method: DFT, PBE-GGA
State: optimized geometry

Mass density: 5.88 g/cm³
Size of the total moment: 5.356 μB per cell

CIF file:
```
data_FeSbP2
_symmetry_space_group_name_H-M 'C m m m'
_symmetry_Int_Tables_number 65
_symmetry_space_group_name_Hall '-C 2 2'
_cell_length_a 5.570
_cell_length_b 7.132
_cell_length_c 3.403
_cell_angle_alpha 90.00
_cell_angle_beta 90.00
_cell_angle_gamma 90.00
loop_
_atom_site_label
_atom_site_type_symbol
_atom_site_fract_x
_atom_site_fract_y
_atom_site_fract_z
_atom_site_occupancy
Fe1 Fe 0.000 0.000 0.000 1
Sb1 Sb 0.000 0.500 0.000 1
P1 P 0.250 0.250 0.500 1
```

***

Material: Fe3SbP
Method: DFT, PBE-GGA
State: optimized geometry

Mass density: 5.00 g/cm³
Size of the total moment: 7.708 μB per cell

CIF file:
```
data_Fe3SbP
_symmetry_space_group_name_H-M 'P m -3 m'
_symmetry_Int_Tables_number 221
_symmetry_space_group_name_Hall '-P 4 2 3'
_cell_length_a 4.738
_cell_length_b 4.738
_cell_length_c 4.738
_cell_angle_alpha 90.00
_cell_angle_beta 90.00
_cell_angle_gamma 90.00
loop_
_atom_site_label
_atom_site_type_symbol
_atom_site_fract_x
_atom_site_fract_y
_atom_site_fract_z
_atom_site_occupancy
Fe1 Fe 0.000 0.000 0.500 1
Sb1 Sb 0.000 0.000 0.000 1
P1 P 0.500 0.500 0.500 1
```

***

Material: FeSb2P
Method: DFT, PBE-GGA
State: optimized geometry

Mass density: 6.93 g/cm³
Size of the total moment: 5.466 μB per cell

CIF file:
```
data_FeSb2P
_symmetry_space_group_name_H-M 'R -3 m'
_symmetry_Int_Tables_number 166
_symmetry_space_group_name_Hall '-R 3 2"'
_cell_length_a 3.6307
_cell_length_b 3.6307
_cell_length_c 20.7796
_cell_angle_alpha 90.00
_cell_angle_beta 90.00
_cell_angle_gamma 120.00
loop_
_atom_site_label
_atom_site_type_symbol
_atom_site_fract_x
_atom_site_fract_y
_atom_site_fract_z
_atom_site_occupancy
Fe1 Fe 0.0000 0.0000 0.0000 1
Sb1 Sb 0.0000 0.0000 0.2533 1
P1 P 0.0000 0.0000 0.5000 1
```

***

Material: FeSbP2
Method: DFT, PBE-GGA
State: optimized geometry

Mass density: 5.60 g/cm³
Size of the total moment: 4.894 μB per cell

CIF file:
```
data_FeSbP2
_symmetry_space_group_name_H-M 'C 1 2/m 1'
_symmetry_Int_Tables_number 12
_symmetry_space_group_name_Hall '-C 2y'
_cell_length_a 5.265
_cell_length_b 7.346
_cell_length_c 4.512
_cell_angle_alpha 90.00
_cell_angle_beta 125.54
_cell_angle_gamma 90.00
loop_
_atom_site_label
_atom_site_type_symbol
_atom_site_fract_x
_atom_site_fract_y
_atom_site_fract_z
_atom_site_occupancy
Fe1 Fe 0.000 0.000 0.000 1
Sb1 Sb 0.000 0.500 0.000 1
P1 P 0.250 0.250 0.500 1
```

***

Material: Fe2SbP
Method: DFT, PBE-GGA
State: optimized geometry

Mass density: 7.40 g/cm³
Size of the total moment: 8.614 μB per cell

CIF file:
```
data_Fe2SbP
_symmetry_space_group_name_H-M 'I -4 m 2'
_symmetry_Int_Tables_number 119
_symmetry_space_group_name_Hall 'I -4 -2'
_cell_length_a 3.862
_cell_length_b 3.862
_cell_length_c 7.956
_cell_angle_alpha 90.00
_cell_angle_beta 90.00
_cell_angle_gamma 90.00
loop_
_atom_site_label
_atom_site_type_symbol
_atom_site_fract_x
_atom_site_fract_y
_atom_site_fract_z
_atom_site_occupancy
Fe1 Fe 0.000 0.000 0.000 1
Fe2 Fe 0.000 0.500 0.250 1
Sb1 Sb 0.000 0.000 0.500 1
P1 P 0.000 0.500 0.750 1
```

***

Material: FeSbP2
Method: DFT, PBE-GGA
State: optimized geometry

Mass density: 5.72 g/cm³
Size of the total moment: 0.002 μB per cell

CIF file:
```
data_FeSbP2
_symmetry_space_group_name_H-M 'C 1 m 1'
_symmetry_Int_Tables_number 8
_symmetry_space_group_name_Hall 'C -2y'
_cell_length_a 7.327
_cell_length_b 3.429
_cell_length_c 5.649
_cell_angle_alpha 90.00
_cell_angle_beta 101.49
_cell_angle_gamma 90.00
loop_
_atom_site_label
_atom_site_type_symbol
_atom_site_fract_x
_atom_site_fract_y
_atom_site_fract_z
_atom_site_occupancy
Fe1 Fe 0.000 0.000 0.000 1
Sb1 Sb 0.205 0.500 0.324 1
P1 P 0.293 0.000 0.966 1
P2 P 0.469 0.000 0.705 1
```

***

Material: FeSb2P
Method: DFT, PBE-GGA
State: optimized geometry

Mass density: 6.68 g/cm³
Size of the total moment: 2.968 μB per cell

CIF file:
```
data_FeSb2P
_symmetry_space_group_name_H-M 'I m m 2'
_symmetry_Int_Tables_number 44
_symmetry_space_group_name_Hall 'I 2 -2'
_cell_length_a 3.134
_cell_length_b 4.622
_cell_length_c 11.336
_cell_angle_alpha 90.00
_cell_angle_beta 90.00
_cell_angle_gamma 90.00
loop_
_atom_site_label
_atom_site_type_symbol
_atom_site_fract_x
_atom_site_fract_y
_atom_site_fract_z
_atom_site_occupancy
Fe1 Fe 0.000 0.000 0.000 1
Sb1 Sb 0.000 0.000 0.515 1
Sb2 Sb 0.000 0.500 0.706 1
P1 P 0.000 0.500 0.357 1
```

***

Material: Fe2SbP
Method: DFT, PBE-GGA
State: optimized geometry

Mass density: 7.79 g/cm³
Size of the total moment: 0.000 μB per cell

CIF file:
```
data_Fe2SbP
_symmetry_space_group_name_H-M 'I m m m'
_symmetry_Int_Tables_number 71
_symmetry_space_group_name_Hall '-I 2 2'
_cell_length_a 3.405
_cell_length_b 4.840
_cell_length_c 6.844
_cell_angle_alpha 90.00
_cell_angle_beta 90.00
_cell_angle_gamma 90.00
loop_
_atom_site_label
_atom_site_type_symbol
_atom_site_fract_x
_atom_site_fract_y
_atom_site_fract_z
_atom_site_occupancy
Fe1 Fe 0.000 0.000 0.196 1
Sb1 Sb 0.000 0.500 0.000 1
P1 P 0.000 0.500 0.500 1
```

***

Material: FeSb4P
Method: DFT, PBE-GGA
State: optimized geometry

Mass density: 6.01 g/cm³
Size of the total moment: 14.536 μB per cell

CIF file:
```
data_FeSb4P
_symmetry_space_group_name_H-M 'F -4 3 m'
_symmetry_Int_Tables_number 216
_symmetry_space_group_name_Hall 'F -4 2 3'
_cell_length_a 8.592
_cell_length_b 8.592
_cell_length_c 8.592
_cell_angle_alpha 90.00
_cell_angle_beta 90.00
_cell_angle_gamma 90.00
loop_
_atom_site_label
_atom_site_type_symbol
_atom_site_fract_x
_atom_site_fract_y
_atom_site_fract_z
_atom_site_occupancy
Fe1 Fe 0.000 0.000 0.000 1
Sb1 Sb 0.125 0.125 0.375 1
P1 P 0.250 0.250 0.750 1
```

***

Material: FeSbP2
Method: DFT, PBE-GGA
State: optimized geometry

Mass density: 5.80 g/cm³
Size of the total moment: 1.998 μB per cell

CIF file:
```
data_FeSbP2
_symmetry_space_group_name_H-M 'P m m m'
_symmetry_Int_Tables_number 47
_symmetry_space_group_name_Hall '-P 2 2'
_cell_length_a 3.392
_cell_length_b 3.870
_cell_length_c 5.226
_cell_angle_alpha 90.00
_cell_angle_beta 90.00
_cell_angle_gamma 90.00
loop_
_atom_site_label
_atom_site_type_symbol
_atom_site_fract_x
_atom_site_fract_y
_atom_site_fract_z
_atom_site_occupancy
Fe1 Fe 0.000 0.000 0.000 1
Sb1 Sb 0.500 0.500 0.000 1
P1 P 0.000 0.000 0.500 1
P2 P 0.500 0.500 0.500 1
```

***

Material: FeSbP2
Method: DFT, PBE-GGA
State: optimized geometry

Mass density: 4.87 g/cm³
Size of the total moment: 0.000 μB per cell

CIF file:
```
data_FeSbP2
_symmetry_space_group_name_H-M 'I -4 2 d'
_symmetry_Int_Tables_number 122
_symmetry_space_group_name_Hall 'I -4 2bw'
_cell_length_a 5.506
_cell_length_b 5.506
_cell_length_c 10.783
_cell_angle_alpha 90.00
_cell_angle_beta 90.00
_cell_angle_gamma 90.00
loop_
_atom_site_label
_atom_site_type_symbol
_atom_site_fract_x
_atom_site_fract_y
_atom_site_fract_z
_atom_site_occupancy
Fe1 Fe 0.000 0.000 0.000 1
Sb1 Sb 0.000 0.000 0.500 1
P1 P 0.171 0.250 0.125 1
```

***

Material: FeSbP2
Method: DFT, PBE-GGA
State: optimized geometry

Mass density: 5.85 g/cm³
Size of the total moment: 2.688 μB per cell

CIF file:
```
data_FeSbP2
_symmetry_space_group_name_H-M 'P 4/m m m'
_symmetry_Int_Tables_number 123
_symmetry_space_group_name_Hall '-P 4 2'
_cell_length_a 4.639
_cell_length_b 4.639
_cell_length_c 3.158
_cell_angle_alpha 90.00
_cell_angle_beta 90.00
_cell_angle_gamma 90.00
loop_
_atom_site_label
_atom_site_type_symbol
_atom_site_fract_x
_atom_site_fract_y
_atom_site_fract_z
_atom_site_occupancy
Fe1 Fe 0.000 0.000 0.000 1
Sb1 Sb 0.500 0.500 0.000 1
P1 P 0.000 0.500 0.500 1
```

***

| no. | formation energy from raw total energies (kJ/mol of formula units) | N(E_F) (states/eV per atom) |
| --- | --- | --- |
| 1 | 251 | 0.74 |
| 2 | 46 | 0.78 |
| 3 | 243 | 1.30 |
| 4 | 236 | 1.04 |
| 5 | 736 | 1.85 |
| 6 | 118 | 0.97 |
| 7 | 149 | 1.05 |
| 8 | 150 | 1.10 |
| 9 | 3 | 0.52 |
| 10 | 105 | 0.88 |
| 11 | 69 | 0.54 |
| 12 | 579 | 0.82 |
| 13 | 149 | 1.32 |
| 14 | 27 | 0.83 |
| 15 | 246 | 0.85 |